# 1
{
  "formula": "ThCu2Ag",
  "functional": "GGA-PBE",
  "state": "optimized geometry",
  "e_form_kcal_per_mol_atoms": 0.346,
  "e_above_lowest_polymorph_ev_per_atom": 0.121,
  "spacegroup": "P4/mmm, No. 123",
  "total_energy_ev_per_atom": -4.601,
  "cell": [[3.356, 0.000, 0.000], [0.000, 3.356, 0.000], [0.000, 0.000, 6.682]],
  "species": ["Cu", "Cu", "Ag", "Th"],
  "frac_coords": [[0.000, 0.000, 0.801], [0.000, 0.000, 0.199], [0.500, 0.500, 0.000], [0.500, 0.500, 0.500]]
}

=====

# 2
{
  "formula": "MgBeAs3",
  "functional": "GGA-PBE",
  "state": "optimized geometry",
  "e_form_kcal_per_mol_atoms": 7.605,
  "e_above_lowest_polymorph_ev_per_atom": 0.000,
  "spacegroup": "Pm-3m, No. 221",
  "total_energy_ev_per_atom": -3.524,
  "cell": [[-4.258, -1.440, 0.845], [1.500, -4.315, 0.206], [0.732, 0.468, 4.490]],
  "species": ["Be", "As", "As", "As", "Mg"],
  "frac_coords": [[0.000, 0.000, 0.000], [0.000, 0.500, 0.000], [0.000, 0.000, 0.500], [0.500, 0.000, 0.000], [0.500, 0.500, 0.500]]
}

=====

# 3
{
  "formula": "La3Ho2",
  "functional": "GGA-PBE",
  "state": "optimized geometry",
  "e_form_kcal_per_mol_atoms": 0.510,
  "e_above_lowest_polymorph_ev_per_atom": 0.000,
  "spacegroup": "R-3m, No. 166",
  "total_energy_ev_per_atom": -4.765,
  "cell": [[3.651, 0.000, 0.000], [1.825, 3.162, 0.000], [1.825, 1.054, 14.909]],
  "species": ["La", "La", "La", "Ho", "Ho"],
  "frac_coords": [[0.097, 0.097, 0.708], [0.500, 0.500, 0.500], [0.903, 0.903, 0.292], [0.302, 0.302, 0.094], [0.698, 0.698, 0.906]]
}

=====

# 4
{
  "formula": "NdTmCo2",
  "functional": "GGA-PBE",
  "state": "optimized geometry",
  "e_form_kcal_per_mol_atoms": -3.366,
  "e_above_lowest_polymorph_ev_per_atom": 0.000,
  "spacegroup": "Pmc2_1, No. 26",
  "total_energy_ev_per_atom": -6.009,
  "cell": [[3.874, 0.000, 0.000], [0.000, 5.633, 0.000], [0.000, 0.000, 7.569]],
  "species": ["Nd", "Nd", "Tm", "Tm", "Co", "Co", "Co", "Co"],
  "frac_coords": [[0.000, 0.132, 0.676], [0.000, 0.868, 0.176], [0.500, 0.371, 0.319], [0.500, 0.629, 0.819], [0.000, 0.634, 0.530], [0.000, 0.366, 0.030], [0.500, 0.828, 0.475], [0.500, 0.172, 0.975]]
}

=====

# 5
{
  "formula": "K3NaHg",
  "functional": "GGA-PBE",
  "state": "optimized geometry",
  "e_form_kcal_per_mol_atoms": -0.243,
  "e_above_lowest_polymorph_ev_per_atom": 0.079,
  "spacegroup": "Pm-3m, No. 221",
  "total_energy_ev_per_atom": -0.993,
  "cell": [[6.693, 0.000, 0.000], [0.000, 6.693, 0.000], [0.000, 0.000, 6.693]],
  "species": ["Na", "K", "K", "K", "Hg"],
  "frac_coords": [[0.500, 0.500, 0.500], [0.000, 0.500, 0.000], [0.000, 0.000, 0.500], [0.500, 0.000, 0.000], [0.000, 0.000, 0.000]]
}

=====

# 6
{
  "formula": "Pu2Zn5Cu12",
  "functional": "GGA-PBE",
  "state": "optimized geometry",
  "e_form_kcal_per_mol_atoms": -1.086,
  "spacegroup": "R-3m, No. 166",
  "total_energy_ev_per_atom": -4.478,
  "cell": [[6.539, 0.098, 0.656], [0.603, 6.512, 0.656], [0.106, 0.098, 6.571]],
  "species": ["Pu", "Pu", "Zn", "Zn", "Zn", "Zn", "Zn", "Cu", "Cu", "Cu", "Cu", "Cu", "Cu", "Cu", "Cu", "Cu", "Cu", "Cu", "Cu"],
  "frac_coords": [[0.645, 0.645, 0.645], [0.355, 0.355, 0.355], [0.000, 0.000, 0.500], [0.000, 0.500, 0.000], [0.500, 0.000, 0.000], [0.899, 0.899, 0.899], [0.101, 0.101, 0.101], [0.301, 0.699, 0.000], [0.699, 0.000, 0.301], [0.000, 0.301, 0.699], [0.699, 0.301, 0.000], [0.301, 0.000, 0.699], [0.000, 0.699, 0.301], [0.345, 0.345, 0.847], [0.345, 0.847, 0.345], [0.847, 0.345, 0.345], [0.655, 0.153, 0.655], [0.655, 0.655, 0.153], [0.153, 0.655, 0.655]]
}